(1)
Here is a relaxed O2F crystal from Alexandria via LeMat-Bulk. Energies are from PBE.

The structure in POSCAR format:
```
O2F
1.0
3.702 -0.349 -0.012
-0.349 3.702 -0.012
-1.710 -1.710 3.140
O F
2 1
direct
0.005 0.005 0.854
0.995 0.995 0.146
0.500 0.500 0.000
```

DOS at the Fermi energy in states/eV/cell: 1.5
Distance to the lowest polymorph of the same formula in eV/atom: 0.080
Space-group type: No. 12
Energy relative to the elements, uncorrected in eV per atom: -0.009
Total moment in μB/f.u.: 1.0

---

(2)
Here is a relaxed Na5TcN4 crystal from Alexandria via LeMat-Bulk. Energies are from PBE.

The structure in POSCAR format:
```
Na5TcN4
1.0
-1.301 1.309 5.357
6.919 -2.348 2.254
2.615 6.736 -1.011
Na Tc N
10 2 8
direct
0.826 0.500 0.000
0.739 0.810 0.764
0.261 0.310 0.264
0.261 0.690 0.736
0.739 0.190 0.764
0.174 0.000 0.500
0.261 0.310 0.736
0.261 0.690 0.264
0.739 0.190 0.236
0.739 0.810 0.236
0.216 0.000 0.000
0.784 0.500 0.500
0.602 0.500 0.291
0.035 0.201 0.000
0.398 0.000 0.209
0.398 0.000 0.791
0.965 0.299 0.500
0.035 0.799 0.000
0.965 0.701 0.500
0.602 0.500 0.709
```

DOS at the Fermi energy in states/eV/cell: 0.0
Space-group type: No. 59
Energy relative to the elements, uncorrected in eV per atom: -0.195
Total moment in μB/f.u.: 0.0

---

Q: DOS at the Fermi energy of number 1 (O2F)?
A: 1.5 states/eV/cell